SrAg6Hg12 | PBE-GGA | optimized geometry

Cell: 8.1123 8.1123 8.1123 Å, 105.09 105.09 105.09°
Closest atoms and distances in Å follow each position.
Fractional positions:
Sr  0.0000  0.0000  0.0000  6 Hg 3.38
Ag  0.2989  0.6986  0.6986  8 Hg 2.90-3.19, 2 Ag 3.23
Ag  0.3014  0.3014  0.7011  8 Hg 2.90-3.19, 2 Ag 3.23
Ag  0.3014  0.7011  0.3014  8 Hg 2.90-3.19, 2 Ag 3.23
Ag  0.6986  0.2989  0.6986  8 Hg 2.90-3.19, 2 Ag 3.23
Ag  0.6986  0.6986  0.2989  8 Hg 2.90-3.19, 2 Ag 3.23
Ag  0.7011  0.3014  0.3014  8 Hg 2.90-3.19, 2 Ag 3.23
Hg  0.1134  0.5000  0.8866  4 Ag 2.90-3.08, 3 Hg 2.92-3.04
Hg  0.1134  0.8866  0.5000  4 Ag 2.90-3.08, 3 Hg 2.92-3.04
Hg  0.1235  0.3732  0.3732  4 Ag 2.90-3.19, 4 Hg 3.04-3.22
Hg  0.3732  0.1235  0.3732  4 Ag 2.90-3.19, 4 Hg 3.04-3.22
Hg  0.3732  0.3732  0.1235  4 Ag 2.90-3.19, 4 Hg 3.04-3.22
Hg  0.5000  0.1134  0.8866  4 Ag 2.90-3.08, 3 Hg 2.92-3.04
Hg  0.5000  0.8866  0.1134  4 Ag 2.90-3.08, 3 Hg 2.92-3.04
Hg  0.6268  0.6268  0.8765  4 Ag 2.90-3.19, 4 Hg 3.04-3.22
Hg  0.6268  0.8765  0.6268  4 Ag 2.90-3.19, 4 Hg 3.04-3.22
Hg  0.8765  0.6268  0.6268  4 Ag 2.90-3.19, 4 Hg 3.04-3.22
Hg  0.8866  0.1134  0.5000  4 Ag 2.90-3.08, 3 Hg 2.92-3.04
Hg  0.8866  0.5000  0.1134  4 Ag 2.90-3.08, 3 Hg 2.92-3.04

Space-group type: R-3m
Formation energy from the elements (eV per formula unit): 0.11
Magnetization (μB/cell): 0.0


Sr2AgHg3 | PBE-GGA | optimized geometry

Cell: 10.0214 9.5361 6.4390 Å, 74.91 66.75 38.34°
Closest atoms and distances in Å follow each position.
Fractional positions:
Sr  0.2489  0.7511  0.7511  2 Ag 3.50, 10 Hg 3.50-3.58
Sr  0.2500  0.2500  0.2500  8 Hg 3.49-3.51, 4 Ag 3.53
Sr  0.7500  0.7500  0.7500  8 Hg 3.49-3.51, 4 Ag 3.53
Sr  0.7511  0.2489  0.2489  2 Ag 3.50, 10 Hg 3.50-3.58
Ag  0.1664  0.1664  0.8336  3 Hg 2.85
Ag  0.8336  0.8336  0.1664  3 Hg 2.85
Hg  0.1606  0.6695  0.3305  1 Ag 2.85, 2 Hg 2.94-2.95
Hg  0.3309  0.3309  0.6691  1 Ag 2.85, 2 Hg 2.95
Hg  0.3305  0.8394  0.1606  1 Ag 2.85, 2 Hg 2.94-2.95
Hg  0.6695  0.1606  0.8394  1 Ag 2.85, 2 Hg 2.94-2.95
Hg  0.6691  0.6691  0.3309  1 Ag 2.85, 2 Hg 2.95
Hg  0.8394  0.3305  0.6695  1 Ag 2.85, 2 Hg 2.94-2.95

Space-group type: Fmmm
Formation energy from the elements (eV per formula unit): -2.62
Magnetization (μB/cell): 0.0


Sr2Ag15Hg2 | PBE-GGA | optimized geometry

Cell: 7.4309 7.4309 7.4309 Å, 83.50 83.50 83.50°
Closest atoms and distances in Å follow each position.
Fractional positions:
Sr  0.1557  0.1557  0.1557  1 Hg 3.43, 18 Ag 3.44-3.82
Sr  0.8443  0.8443  0.8443  1 Hg 3.43, 18 Ag 3.44-3.82
Ag  0.0000  0.5000  0.5000  8 Ag 2.83-2.88, 2 Hg 3.00
Ag  0.1537  0.1537  0.6606  8 Ag 2.83-2.96, 1 Hg 3.08
Ag  0.1537  0.6606  0.1537  8 Ag 2.83-2.96, 1 Hg 3.08
Ag  0.1924  0.5000  0.8076  8 Ag 2.83-3.04
Ag  0.1924  0.8076  0.5000  8 Ag 2.83-3.04
Ag  0.3394  0.8463  0.8463  8 Ag 2.83-2.96, 1 Hg 3.08
Ag  0.5000  0.0000  0.5000  8 Ag 2.83-2.88, 2 Hg 3.00
Ag  0.5000  0.1924  0.8076  8 Ag 2.83-3.04
Ag  0.5000  0.5000  0.0000  8 Ag 2.83-2.88, 2 Hg 3.00
Ag  0.5000  0.8076  0.1924  8 Ag 2.83-3.04
Ag  0.6606  0.1537  0.1537  8 Ag 2.83-2.96, 1 Hg 3.08
Ag  0.8076  0.1924  0.5000  8 Ag 2.83-3.04
Ag  0.8076  0.5000  0.1924  8 Ag 2.83-3.04
Ag  0.8463  0.3394  0.8463  8 Ag 2.83-2.96, 1 Hg 3.08
Ag  0.8463  0.8463  0.3394  8 Ag 2.83-2.96, 1 Hg 3.08
Hg  0.3965  0.3965  0.3965  1 Hg 2.95, 6 Ag 3.00-3.08
Hg  0.6035  0.6035  0.6035  1 Hg 2.95, 6 Ag 3.00-3.08

Space-group type: R-3m
Formation energy from the elements (eV per formula unit): -2.12
Magnetization (μB/cell): 0.0